Record 1
# PBE-GGA LiAl2Cu, optimized geometry
# Energy of formation from the pure elements: -0.14 eV/atom
# Crystal system: monoclinic
# E_tot: -14.0 eV for the cell shown
# M_tot: 0.0 μB/f.u.
data_LiAl2Cu
_chemical_formula_sum 'Li1 Al2 Cu1'
_cell_length_a 2.780
_cell_length_b 3.606
_cell_length_c 5.710
_cell_angle_alpha 90.00
_cell_angle_beta 90.15
_cell_angle_gamma 90.00
_symmetry_space_group_name_H-M 'P 1 2/m 1'
_symmetry_Int_Tables_number 10
_symmetry_space_group_name_Hall '-P 2y'
loop_
_atom_site_label
_atom_site_fract_x
_atom_site_fract_y
_atom_site_fract_z
Li1 0.000 0.000 0.000
Al1 0.499 0.500 0.743
Cu1 0.000 0.000 0.500

---

Record 2
# PBE-GGA LiAl2Cu, optimized geometry
# Energy of formation from the pure elements: -0.10 eV/atom
# Crystal system: orthorhombic
# E_tot: -27.8 eV for the cell shown
# M_tot: 0.0 μB/f.u.
data_LiAl2Cu
_chemical_formula_sum 'Li2 Al4 Cu2'
_cell_length_a 2.817
_cell_length_b 4.684
_cell_length_c 9.199
_cell_angle_alpha 90.00
_cell_angle_beta 90.00
_cell_angle_gamma 90.00
_symmetry_space_group_name_H-M 'I m m m'
_symmetry_Int_Tables_number 71
_symmetry_space_group_name_Hall '-I 2 2'
loop_
_atom_site_label
_atom_site_fract_x
_atom_site_fract_y
_atom_site_fract_z
Li1 0.000 0.000 0.000
Al1 0.000 0.500 0.225
Cu1 0.000 0.000 0.500

---

Record 3
# PBE-GGA LiAl2Cu2, optimized geometry
# Energy of formation from the pure elements: -0.21 eV/atom
# Crystal system: tetragonal
# Offset from the most stable computed form: 0.7 kJ/mol of atoms
# E_tot: -37.3 eV for the cell shown
# M_tot: 0.0 μB/f.u.
data_LiAl2Cu2
_chemical_formula_sum 'Li2 Al4 Cu4'
_cell_length_a 7.373
_cell_length_b 7.373
_cell_length_c 2.672
_cell_angle_alpha 90.00
_cell_angle_beta 90.00
_cell_angle_gamma 90.00
_symmetry_space_group_name_H-M 'P 4/m b m'
_symmetry_Int_Tables_number 127
_symmetry_space_group_name_Hall '-P 4 2ab'
loop_
_atom_site_label
_atom_site_fract_x
_atom_site_fract_y
_atom_site_fract_z
Li1 0.000 0.000 0.000
Al1 0.131 0.369 0.000
Cu1 0.168 0.668 0.500

---

Record 4
# PBE-GGA LiAl2Cu2, optimized geometry
# Energy of formation from the pure elements: -0.02 eV/atom
# Crystal system: tetragonal
# Offset from the most stable computed form: 19.8 kJ/mol of atoms
# E_tot: -35.3 eV for the cell shown
# M_tot: 0.0 μB/f.u.
data_LiAl2Cu2
_chemical_formula_sum 'Li2 Al4 Cu4'
_cell_length_a 3.513
_cell_length_b 3.513
_cell_length_c 12.566
_cell_angle_alpha 90.00
_cell_angle_beta 90.00
_cell_angle_gamma 90.00
_symmetry_space_group_name_H-M 'I 4/m m m'
_symmetry_Int_Tables_number 139
_symmetry_space_group_name_Hall '-I 4 2'
loop_
_atom_site_label
_atom_site_fract_x
_atom_site_fract_y
_atom_site_fract_z
Li1 0.000 0.000 0.000
Al1 0.000 0.000 0.396
Cu1 0.000 0.500 0.250

---

Record 5
# PBE-GGA LiAl4Cu3, optimized geometry
# Energy of formation from the pure elements: -0.16 eV/atom
# Crystal system: orthorhombic
# E_tot: -60.8 eV for the cell shown
# M_tot: 0.0 μB/f.u.
data_LiAl4Cu3
_chemical_formula_sum 'Li2 Al8 Cu6'
_cell_length_a 8.838
_cell_length_b 5.500
_cell_length_c 4.546
_cell_angle_alpha 90.00
_cell_angle_beta 90.00
_cell_angle_gamma 90.00
_symmetry_space_group_name_H-M 'P m m a'
_symmetry_Int_Tables_number 51
_symmetry_space_group_name_Hall '-P 2a 2a'
loop_
_atom_site_label
_atom_site_fract_x
_atom_site_fract_y
_atom_site_fract_z
Li1 0.000 0.000 0.000
Al1 0.000 0.254 0.500
Al2 0.250 0.252 0.114
Cu1 0.000 0.500 0.000
Cu2 0.250 0.000 0.606
Cu3 0.250 0.500 0.642

---

Record 6
# PBE-GGA Li2AlCu, optimized geometry
# Energy of formation from the pure elements: -0.14 eV/atom
# Crystal system: orthorhombic
# E_tot: -12.2 eV for the cell shown
# M_tot: 0.0 μB/f.u.
data_Li2AlCu
_chemical_formula_sum 'Li2 Al1 Cu1'
_cell_length_a 3.027
_cell_length_b 4.147
_cell_length_c 4.481
_cell_angle_alpha 90.00
_cell_angle_beta 90.00
_cell_angle_gamma 90.00
_symmetry_space_group_name_H-M 'P m m m'
_symmetry_Int_Tables_number 47
_symmetry_space_group_name_Hall '-P 2 2'
loop_
_atom_site_label
_atom_site_fract_x
_atom_site_fract_y
_atom_site_fract_z
Li1 0.000 0.000 0.000
Li2 0.500 0.500 0.000
Al1 0.000 0.500 0.500
Cu1 0.500 0.000 0.500

---

Record 7
# PBE-GGA LiAl4Cu, optimized geometry
# Energy of formation from the pure elements: 0.14 eV/atom
# Crystal system: cubic
# Offset from the most stable computed form: 22.1 kJ/mol of atoms
# E_tot: -80.5 eV for the cell shown
# M_tot: 0.0 μB/f.u.
data_LiAl4Cu
_chemical_formula_sum 'Li4 Al16 Cu4'
_cell_length_a 7.462
_cell_length_b 7.462
_cell_length_c 7.462
_cell_angle_alpha 90.00
_cell_angle_beta 90.00
_cell_angle_gamma 90.00
_symmetry_space_group_name_H-M 'F -4 3 m'
_symmetry_Int_Tables_number 216
_symmetry_space_group_name_Hall 'F -4 2 3'
loop_
_atom_site_label
_atom_site_fract_x
_atom_site_fract_y
_atom_site_fract_z
Li1 0.000 0.000 0.000
Al1 0.125 0.125 0.625
Cu1 0.250 0.250 0.250

---

Record 8
# PBE-GGA Li2Al2Cu3, optimized geometry
# Energy of formation from the pure elements: -0.14 eV/atom
# Crystal system: monoclinic
# Offset from the most stable computed form: 4.1 kJ/mol of atoms
# E_tot: -49.2 eV for the cell shown
# M_tot: 0.0 μB/f.u.
data_Li2Al2Cu3
_chemical_formula_sum 'Li4 Al4 Cu6'
_cell_length_a 11.244
_cell_length_b 2.714
_cell_length_c 6.587
_cell_angle_alpha 90.00
_cell_angle_beta 109.12
_cell_angle_gamma 90.00
_symmetry_space_group_name_H-M 'C 1 2/m 1'
_symmetry_Int_Tables_number 12
_symmetry_space_group_name_Hall '-C 2y'
loop_
_atom_site_label
_atom_site_fract_x
_atom_site_fract_y
_atom_site_fract_z
Li1 0.139 0.000 0.419
Al1 0.083 0.500 0.740
Cu1 0.000 0.000 0.000
Cu2 0.215 0.500 0.145